# LiAcAlGa (PBE-GGA, optimized geometry)
# Fermi-level density of states = 0.39 states/eV/atom
# calculated volume = 23.71 Å³ per atom
# E_form = -344 meV/atom
# distance to the lowest polymorph of the same formula = 0 meV/atom
# energy = -42.5 eV/cell
data_LiAcAlGa
_chemical_formula_sum 'Li3 Ac3 Al3 Ga3'
_space_group_name_H-M_alt 'R 3 m'
_space_group_IT_number 160
_space_group_name_Hall 'R 3 -2"'
_cell_length_a 4.4334
_cell_length_b 4.4334
_cell_length_c 16.7176
_cell_angle_alpha 90.00
_cell_angle_beta 90.00
_cell_angle_gamma 120.00
loop_
_atom_site_label
_atom_site_fract_x
_atom_site_fract_y
_atom_site_fract_z
Li1 0.0000 0.0000 0.0000
Ac1 0.0000 0.0000 0.8004
Al1 0.0000 0.0000 0.2986
Ga1 0.0000 0.0000 0.5898

***

# AcMg2AlGa4 (PBE-GGA, optimized geometry)
# Fermi-level density of states = 0.30 states/eV/atom
# calculated volume = 22.01 Å³ per atom
# E_form = -262 meV/atom
# energy = -75.7 eV/cell
data_AcMg2AlGa4
_chemical_formula_sum 'Ac3 Mg6 Al3 Ga12'
_space_group_name_H-M_alt 'R -3 m'
_space_group_IT_number 166
_space_group_name_Hall '-R 3 2"'
_cell_length_a 4.7635
_cell_length_b 4.7635
_cell_length_c 26.8833
_cell_angle_alpha 90.00
_cell_angle_beta 90.00
_cell_angle_gamma 120.00
loop_
_atom_site_label
_atom_site_fract_x
_atom_site_fract_y
_atom_site_fract_z
Ac1 0.0000 0.0000 0.0000
Mg1 0.0000 0.0000 0.2376
Al1 0.0000 0.0000 0.5000
Ga1 0.0000 0.0000 0.1300
Ga2 0.0000 0.0000 0.4028

***

# Ac2Mg4AlGa3 (PBE-GGA, optimized geometry)
# Fermi-level density of states = 0.37 states/eV/atom
# calculated volume = 24.61 Å³ per atom
# E_form = -336 meV/atom
# energy = -30.8 eV/cell
data_Ac2Mg4AlGa3
_chemical_formula_sum 'Ac2 Mg4 Al1 Ga3'
_space_group_name_H-M_alt 'P -4 m 2'
_space_group_IT_number 115
_space_group_name_Hall 'P -4 -2'
_cell_length_a 4.626
_cell_length_b 4.626
_cell_length_c 11.500
_cell_angle_alpha 90.00
_cell_angle_beta 90.00
_cell_angle_gamma 90.00
loop_
_atom_site_label
_atom_site_fract_x
_atom_site_fract_y
_atom_site_fract_z
Ac1 0.000 0.500 0.245
Mg1 0.000 0.000 0.500
Mg2 0.000 0.500 0.868
Mg3 0.500 0.500 0.500
Al1 0.500 0.500 0.000
Ga1 0.000 0.000 0.000
Ga2 0.000 0.500 0.637

***

# AcMgAl2Ga4 (PBE-GGA, optimized geometry)
# Fermi-level density of states = 0.43 states/eV/atom
# calculated volume = 21.19 Å³ per atom
# E_form = -207 meV/atom
# energy = -80.8 eV/cell
data_AcMgAl2Ga4
_chemical_formula_sum 'Ac3 Mg3 Al6 Ga12'
_space_group_name_H-M_alt 'R -3 m'
_space_group_IT_number 166
_space_group_name_Hall '-R 3 2"'
_cell_length_a 4.6789
_cell_length_b 4.6789
_cell_length_c 26.8227
_cell_angle_alpha 90.00
_cell_angle_beta 90.00
_cell_angle_gamma 120.00
loop_
_atom_site_label
_atom_site_fract_x
_atom_site_fract_y
_atom_site_fract_z
Ac1 0.0000 0.0000 0.0000
Mg1 0.0000 0.0000 0.5000
Al1 0.0000 0.0000 0.2382
Ga1 0.0000 0.0000 0.1293
Ga2 0.0000 0.0000 0.4001

***

# AcMg2AlGa2 (PBE-GGA, optimized geometry)
# Fermi-level density of states = 0.33 states/eV/atom
# calculated volume = 26.38 Å³ per atom
# E_form = -28 meV/atom
# energy = -34.5 eV/cell
data_AcMg2AlGa2
_chemical_formula_sum 'Ac2 Mg4 Al2 Ga4'
_space_group_name_H-M_alt 'I 4/m m m'
_space_group_IT_number 139
_space_group_name_Hall '-I 4 2'
_cell_length_a 5.257
_cell_length_b 5.257
_cell_length_c 11.456
_cell_angle_alpha 90.00
_cell_angle_beta 90.00
_cell_angle_gamma 90.00
loop_
_atom_site_label
_atom_site_fract_x
_atom_site_fract_y
_atom_site_fract_z
Ac1 0.000 0.000 0.000
Mg1 0.000 0.500 0.250
Al1 0.000 0.000 0.500
Ga1 0.000 0.000 0.289

***

# NaAcAlGa (PBE-GGA, optimized geometry)
# Fermi-level density of states = 0.48 states/eV/atom
# calculated volume = 27.36 Å³ per atom
# E_form = -126 meV/atom
# energy = -50.8 eV/cell
data_NaAcAlGa
_chemical_formula_sum 'Na4 Ac4 Al4 Ga4'
_space_group_name_H-M_alt 'F -4 3 m'
_space_group_IT_number 216
_space_group_name_Hall 'F -4 2 3'
_cell_length_a 7.593
_cell_length_b 7.593
_cell_length_c 7.593
_cell_angle_alpha 90.00
_cell_angle_beta 90.00
_cell_angle_gamma 90.00
loop_
_atom_site_label
_atom_site_fract_x
_atom_site_fract_y
_atom_site_fract_z
Na1 0.000 0.000 0.000
Ac1 0.000 0.000 0.500
Al1 0.250 0.250 0.750
Ga1 0.250 0.250 0.250

***

# AcAlGaNi (PBE-GGA, optimized geometry)
# Fermi-level density of states = 0.81 states/eV/atom
# calculated volume = 21.82 Å³ per atom
# E_form = -494 meV/atom
# energy = -55.9 eV/cell
data_AcAlGaNi
_chemical_formula_sum 'Ac3 Al3 Ga3 Ni3'
_space_group_name_H-M_alt 'R 3 m'
_space_group_IT_number 160
_space_group_name_Hall 'R 3 -2"'
_cell_length_a 4.1879
_cell_length_b 4.1879
_cell_length_c 17.2377
_cell_angle_alpha 90.00
_cell_angle_beta 90.00
_cell_angle_gamma 120.00
loop_
_atom_site_label
_atom_site_fract_x
_atom_site_fract_y
_atom_site_fract_z
Ac1 0.0000 0.0000 0.0000
Al1 0.0000 0.0000 0.8003
Ga1 0.0000 0.0000 0.2023
Ni1 0.0000 0.0000 0.4978

***

# AcAlGaNi3 (PBE-GGA, optimized geometry)
# Fermi-level density of states = 0.56 states/eV/atom
# calculated volume = 18.17 Å³ per atom
# E_form = -282 meV/atom
# energy = -119.7 eV/cell
data_AcAlGaNi3
_chemical_formula_sum 'Ac4 Al4 Ga4 Ni12'
_space_group_name_H-M_alt 'C m c m'
_space_group_IT_number 63
_space_group_name_Hall '-C 2c 2'
_cell_length_a 6.284
_cell_length_b 12.279
_cell_length_c 5.653
_cell_angle_alpha 90.00
_cell_angle_beta 90.00
_cell_angle_gamma 90.00
loop_
_atom_site_label
_atom_site_fract_x
_atom_site_fract_y
_atom_site_fract_z
Ac1 0.000 0.223 0.250
Al1 0.000 0.490 0.250
Ga1 0.000 0.123 0.750
Ni1 0.000 0.319 0.750
Ni2 0.199 0.000 0.000

***

# Ac3AlGa2Ni6 (PBE-GGA, optimized geometry)
# Fermi-level density of states = 0.55 states/eV/atom
# calculated volume = 20.01 Å³ per atom
# E_form = -285 meV/atom
# energy = -60.2 eV/cell
data_Ac3AlGa2Ni6
_chemical_formula_sum 'Ac3 Al1 Ga2 Ni6'
_space_group_name_H-M_alt 'P -3 m 1'
_space_group_IT_number 164
_space_group_name_Hall '-P 3 2"'
_cell_length_a 5.6273
_cell_length_b 5.6273
_cell_length_c 8.7559
_cell_angle_alpha 90.00
_cell_angle_beta 90.00
_cell_angle_gamma 120.00
loop_
_atom_site_label
_atom_site_fract_x
_atom_site_fract_y
_atom_site_fract_z
Ac1 0.0000 0.0000 0.0000
Ac2 0.3333 0.6667 0.6709
Al1 0.0000 0.0000 0.5000
Ga1 0.3333 0.6667 0.0823
Ni1 0.1800 0.3601 0.3099

***

# Ac3AlGa2O9 (PBE-GGA, optimized geometry)
# Fermi-level density of states = 0.00 states/eV/atom
# calculated volume = 12.29 Å³ per atom
# uncorrected formation energy = -275.7 kJ/mol of atoms
# energy = -109.6 eV/cell
data_Ac3AlGa2O9
_chemical_formula_sum 'Ac3 Al1 Ga2 O9'
_space_group_name_H-M_alt 'P -3 m 1'
_space_group_IT_number 164
_space_group_name_Hall '-P 3 2"'
_cell_length_a 5.5799
_cell_length_b 5.5799
_cell_length_c 6.8370
_cell_angle_alpha 90.00
_cell_angle_beta 90.00
_cell_angle_gamma 120.00
loop_
_atom_site_label
_atom_site_fract_x
_atom_site_fract_y
_atom_site_fract_z
Ac1 0.0000 0.0000 0.0000
Ac2 0.3333 0.6667 0.6675
Al1 0.0000 0.0000 0.5000
Ga1 0.3333 0.6667 0.1715
O1 0.0000 0.5000 0.0000
O2 0.1632 0.3265 0.3377

***

# Ac2AlGaO6 (PBE-GGA, optimized geometry)
# Fermi-level density of states = 0.00 states/eV/atom
# calculated volume = 12.14 Å³ per atom
# uncorrected formation energy = -285.9 kJ/mol of atoms
# energy = -297.4 eV/cell
data_Ac2AlGaO6
_chemical_formula_sum 'Ac8 Al4 Ga4 O24'
_space_group_name_H-M_alt 'F m -3 m'
_space_group_IT_number 225
_space_group_name_Hall '-F 4 2 3'
_cell_length_a 7.861
_cell_length_b 7.861
_cell_length_c 7.861
_cell_angle_alpha 90.00
_cell_angle_beta 90.00
_cell_angle_gamma 90.00
loop_
_atom_site_label
_atom_site_fract_x
_atom_site_fract_y
_atom_site_fract_z
Ac1 0.250 0.250 0.250
Al1 0.000 0.000 0.000
Ga1 0.000 0.000 0.500
O1 0.000 0.000 0.245

***

# AcAlGa2O6 (PBE-GGA, optimized geometry)
# Fermi-level density of states = 0.00 states/eV/atom
# calculated volume = 14.65 Å³ per atom
# uncorrected formation energy = -244.0 kJ/mol of atoms
# energy = -275.8 eV/cell
data_AcAlGa2O6
_chemical_formula_sum 'Ac4 Al4 Ga8 O24'
_space_group_name_H-M_alt 'C 1 2/c 1'
_space_group_IT_number 15
_space_group_name_Hall '-C 2yc'
_cell_length_a 11.198
_cell_length_b 9.225
_cell_length_c 6.521
_cell_angle_alpha 90.00
_cell_angle_beta 119.52
_cell_angle_gamma 90.00
loop_
_atom_site_label
_atom_site_fract_x
_atom_site_fract_y
_atom_site_fract_z
Ac1 0.000 0.182 0.250
Al1 0.000 0.194 0.750
Ga1 0.205 0.442 0.166
O1 0.098 0.284 0.014
O2 0.105 0.081 0.684
O3 0.176 0.420 0.433

***

# AcAl2GaOs2 (PBE-GGA, optimized geometry)
# Fermi-level density of states = 0.34 states/eV/atom
# calculated volume = 21.03 Å³ per atom
# E_form = -42 meV/atom
# energy = -37.3 eV/cell
data_AcAl2GaOs2
_chemical_formula_sum 'Ac1 Al2 Ga1 Os2'
_space_group_name_H-M_alt 'P 4/m m m'
_space_group_IT_number 123
_space_group_name_Hall '-P 4 2'
_cell_length_a 4.617
_cell_length_b 4.617
_cell_length_c 5.920
_cell_angle_alpha 90.00
_cell_angle_beta 90.00
_cell_angle_gamma 90.00
loop_
_atom_site_label
_atom_site_fract_x
_atom_site_fract_y
_atom_site_fract_z
Ac1 0.000 0.000 0.000
Al1 0.500 0.500 0.260
Ga1 0.000 0.000 0.500
Os1 0.000 0.500 0.500

***

# AcAlGaPd6 (PBE-GGA, optimized geometry)
# Fermi-level density of states = 0.28 states/eV/atom
# calculated volume = 20.92 Å³ per atom
# E_form = -412 meV/atom
# energy = -183.0 eV/cell
data_AcAlGaPd6
_chemical_formula_sum 'Ac4 Al4 Ga4 Pd24'
_space_group_name_H-M_alt 'I m m a'
_space_group_IT_number 74
_space_group_name_Hall '-I 2b 2'
_cell_length_a 7.950
_cell_length_b 8.262
_cell_length_c 11.466
_cell_angle_alpha 90.00
_cell_angle_beta 90.00
_cell_angle_gamma 90.00
loop_
_atom_site_label
_atom_site_fract_x
_atom_site_fract_y
_atom_site_fract_z
Ac1 0.000 0.250 0.131
Al1 0.000 0.000 0.500
Ga1 0.250 0.250 0.750
Pd1 0.000 0.250 0.385
Pd2 0.000 0.250 0.877
Pd3 0.247 0.006 0.625

***

# Ac3Al2GaPd6 (PBE-GGA, optimized geometry)
# Fermi-level density of states = 0.46 states/eV/atom
# calculated volume = 22.83 Å³ per atom
# E_form = -672 meV/atom
# energy = -62.1 eV/cell
data_Ac3Al2GaPd6
_chemical_formula_sum 'Ac3 Al2 Ga1 Pd6'
_space_group_name_H-M_alt 'P -3 m 1'
_space_group_IT_number 164
_space_group_name_Hall '-P 3 2"'
_cell_length_a 5.9320
_cell_length_b 5.9320
_cell_length_c 8.9906
_cell_angle_alpha 90.00
_cell_angle_beta 90.00
_cell_angle_gamma 120.00
loop_
_atom_site_label
_atom_site_fract_x
_atom_site_fract_y
_atom_site_fract_z
Ac1 0.0000 0.0000 0.0000
Ac2 0.3333 0.6667 0.6385
Al1 0.3333 0.6667 0.0621
Ga1 0.0000 0.0000 0.5000
Pd1 0.1728 0.3456 0.2890

***

# Ac2AlGa3Pd4 (PBE-GGA, optimized geometry)
# Fermi-level density of states = 0.88 states/eV/atom
# calculated volume = 20.87 Å³ per atom
# E_form = -814 meV/atom
# energy = -50.0 eV/cell
data_Ac2AlGa3Pd4
_chemical_formula_sum 'Ac2 Al1 Ga3 Pd4'
_space_group_name_H-M_alt 'P -4 m 2'
_space_group_IT_number 115
_space_group_name_Hall 'P -4 -2'
_cell_length_a 4.507
_cell_length_b 4.507
_cell_length_c 10.271
_cell_angle_alpha 90.00
_cell_angle_beta 90.00
_cell_angle_gamma 90.00
loop_
_atom_site_label
_atom_site_fract_x
_atom_site_fract_y
_atom_site_fract_z
Ac1 0.000 0.500 0.248
Al1 0.000 0.000 0.500
Ga1 0.000 0.500 0.879
Ga2 0.500 0.500 0.500
Pd1 0.000 0.000 0.000
Pd2 0.000 0.500 0.627
Pd3 0.500 0.500 0.000

***

# AcAlGa2Pd (PBE-GGA, optimized geometry)
# Fermi-level density of states = 0.54 states/eV/atom
# calculated volume = 21.13 Å³ per atom
# E_form = -662 meV/atom
# energy = -44.8 eV/cell
data_AcAlGa2Pd
_chemical_formula_sum 'Ac2 Al2 Ga4 Pd2'
_space_group_name_H-M_alt 'I -4 m 2'
_space_group_IT_number 119
_space_group_name_Hall 'I -4 -2'
_cell_length_a 4.362
_cell_length_b 4.362
_cell_length_c 11.104
_cell_angle_alpha 90.00
_cell_angle_beta 90.00
_cell_angle_gamma 90.00
loop_
_atom_site_label
_atom_site_fract_x
_atom_site_fract_y
_atom_site_fract_z
Ac1 0.000 0.000 0.000
Al1 0.000 0.500 0.250
Ga1 0.000 0.000 0.381
Pd1 0.000 0.500 0.750

***

# Ac3Al2GaPd9 (PBE-GGA, optimized geometry)
# Fermi-level density of states = 0.37 states/eV/atom
# calculated volume = 22.04 Å³ per atom
# E_form = -690 meV/atom
# energy = -79.9 eV/cell
data_Ac3Al2GaPd9
_chemical_formula_sum 'Ac3 Al2 Ga1 Pd9'
_space_group_name_H-M_alt 'P -3 m 1'
_space_group_IT_number 164
_space_group_name_Hall '-P 3 2"'
_cell_length_a 6.0085
_cell_length_b 6.0085
_cell_length_c 10.5743
_cell_angle_alpha 90.00
_cell_angle_beta 90.00
_cell_angle_gamma 120.00
loop_
_atom_site_label
_atom_site_fract_x
_atom_site_fract_y
_atom_site_fract_z
Ac1 0.0000 0.0000 0.0000
Ac2 0.3333 0.6667 0.6712
Al1 0.3333 0.6667 0.1662
Ga1 0.0000 0.0000 0.5000
Pd1 0.0000 0.5000 0.0000
Pd2 0.1667 0.3334 0.3308

***

# AcAl2GaPd4 (PBE-GGA, optimized geometry)
# Fermi-level density of states = 0.52 states/eV/atom
# calculated volume = 18.67 Å³ per atom
# E_form = -784 meV/atom
# energy = -125.0 eV/cell
data_AcAl2GaPd4
_chemical_formula_sum 'Ac3 Al6 Ga3 Pd12'
_space_group_name_H-M_alt 'R -3 m'
_space_group_IT_number 166
_space_group_name_Hall '-R 3 2"'
_cell_length_a 4.3416
_cell_length_b 4.3416
_cell_length_c 27.4420
_cell_angle_alpha 90.00
_cell_angle_beta 90.00
_cell_angle_gamma 120.00
loop_
_atom_site_label
_atom_site_fract_x
_atom_site_fract_y
_atom_site_fract_z
Ac1 0.0000 0.0000 0.0000
Al1 0.0000 0.0000 0.2347
Ga1 0.0000 0.0000 0.5000
Pd1 0.0000 0.0000 0.1353
Pd2 0.0000 0.0000 0.4073

***

# AcAlGa4Pd2 (PBE-GGA, optimized geometry)
# Fermi-level density of states = 0.38 states/eV/atom
# calculated volume = 19.73 Å³ per atom
# E_form = -475 meV/atom
# energy = -102.4 eV/cell
data_AcAlGa4Pd2
_chemical_formula_sum 'Ac3 Al3 Ga12 Pd6'
_space_group_name_H-M_alt 'R -3 m'
_space_group_IT_number 166
_space_group_name_Hall '-R 3 2"'
_cell_length_a 4.4258
_cell_length_b 4.4258
_cell_length_c 27.9192
_cell_angle_alpha 90.00
_cell_angle_beta 90.00
_cell_angle_gamma 120.00
loop_
_atom_site_label
_atom_site_fract_x
_atom_site_fract_y
_atom_site_fract_z
Ac1 0.0000 0.0000 0.0000
Al1 0.0000 0.0000 0.5000
Ga1 0.0000 0.0000 0.1209
Ga2 0.0000 0.0000 0.4043
Pd1 0.0000 0.0000 0.2201